DFT (GGA+U) results for crystalline Na2BeCoO4 at its relaxed geometry.

Computed properties:
Uncorrected energy, eV/cell: -84.7
Magnetic moment, μB/atom: 0.3782

The structure in extended XYZ format:
```
16
Lattice="0.000 5.480 8.317 2.360 0.000 8.317 2.360 5.480 0.000" Properties=species:S:1:pos:R:3 pbc="T T T"
Na 1.770 4.110 0.994
Na 2.950 6.850 5.152
Na 1.770 4.110 11.481
Na 2.950 6.850 15.640
Be 1.770 4.110 6.238
Be 2.950 6.850 10.396
Co 0.590 1.370 2.079
Co 4.130 9.590 14.555
O 2.881 3.042 5.577
O 2.881 5.178 6.898
O 4.060 5.782 11.057
O 4.060 7.919 9.736
O 0.659 3.042 6.898
O 0.659 5.178 5.577
O 1.839 5.782 9.736
O 1.839 7.919 11.057
```